Model i:
Density functional theory data (GGA-PBE) for ZrAlCo2H after structural relaxation.

a b c (Å): 3.925 3.925 3.866
angles (deg): 90.00 90.00 90.00
Fractional coordinates of all 5 atoms:
Zr 0.000 0.000 0.000
Al 0.500 0.500 0.000
Co 0.000 0.500 0.500
Co 0.500 0.000 0.500
H 0.000 0.000 0.500

Results
density = 6.61 Mg/m³
crystal system = tetragonal
symmetry = P4/mmm, No. 123


Model ii:
Density functional theory data (GGA-PBE) for ZrAlCo2H after structural relaxation.

a b c (Å): 5.726 5.726 7.039
angles (deg): 90.00 90.00 148.60
Fractional coordinates of all 10 atoms:
Zr 0.023 0.977 0.750
Zr 0.977 0.023 0.250
Al 0.249 0.751 0.250
Al 0.751 0.249 0.750
Co 0.358 0.642 0.549
Co 0.358 0.642 0.951
Co 0.642 0.358 0.049
Co 0.642 0.358 0.451
H 0.500 0.500 0.000
H 0.500 0.500 0.500

Results
density = 6.55 Mg/m³
crystal system = orthorhombic
symmetry = Cmcm, No. 63


Which is the most stable structure? model ii is the most stable.


Model i:
Density functional theory data (GGA-PBE) for Hf4AlCo after structural relaxation.

a b c (Å): 7.205 7.205 5.258
angles (deg): 100.52 100.52 113.96
Fractional coordinates of all 12 atoms:
Hf 0.068 0.708 0.934
Hf 0.207 0.365 0.658
Hf 0.292 0.932 0.566
Hf 0.365 0.207 0.158
Hf 0.635 0.793 0.842
Hf 0.708 0.068 0.434
Hf 0.793 0.635 0.342
Hf 0.932 0.292 0.066
Al 0.378 0.622 0.250
Al 0.622 0.378 0.750
Co 0.002 0.998 0.750
Co 0.998 0.002 0.250

Results
density = 11.30 Mg/m³
crystal system = monoclinic
symmetry = C2/c, No. 15


Model ii:
Density functional theory data (GGA-PBE) for Hf4AlCo after structural relaxation.

a b c (Å): 6.572 6.572 5.352
angles (deg): 90.00 90.00 90.00
Fractional coordinates of all 12 atoms:
Hf 0.147 0.321 0.000
Hf 0.147 0.679 0.500
Hf 0.321 0.147 0.500
Hf 0.321 0.853 0.000
Hf 0.679 0.147 0.000
Hf 0.679 0.853 0.500
Hf 0.853 0.321 0.500
Hf 0.853 0.679 0.000
Al 0.500 0.500 0.250
Al 0.500 0.500 0.750
Co 0.000 0.000 0.250
Co 0.000 0.000 0.750

Results
density = 11.49 Mg/m³
crystal system = tetragonal
symmetry = P4/mcc, No. 124


Which is the most stable structure? model ii is the most stable.


Model i:
Density functional theory data (GGA-PBE) for AlCoHg2 after structural relaxation.

a b c (Å): 2.990 2.926 8.434
angles (deg): 90.00 95.96 90.00
Fractional coordinates of all 4 atoms:
Al 0.000 0.000 0.000
Co 0.543 0.500 0.146
Hg 0.035 0.500 0.702
Hg 0.110 0.000 0.373

Results
density = 11.02 Mg/m³
crystal system = monoclinic
symmetry = Pm, No. 6


Model ii:
Density functional theory data (GGA-PBE) for AlCoHg2 after structural relaxation.

a b c (Å): 4.618 4.618 4.618
angles (deg): 60.00 60.00 60.00
Fractional coordinates of all 4 atoms:
Al 0.000 0.000 0.000
Co 0.250 0.250 0.250
Hg 0.500 0.500 0.500
Hg 0.750 0.750 0.750

Results
density = 11.61 Mg/m³
crystal system = cubic
symmetry = F-43m, No. 216


Model iii:
Density functional theory data (GGA-PBE) for AlCoHg2 after structural relaxation.

a b c (Å): 2.999 2.999 8.134
angles (deg): 90.00 90.00 90.00
Fractional coordinates of all 4 atoms:
Al 0.000 0.000 0.000
Co 0.000 0.000 0.500
Hg 0.500 0.500 0.274
Hg 0.500 0.500 0.726

Results
density = 11.06 Mg/m³
crystal system = tetragonal
symmetry = P4/mmm, No. 123


Which is the most stable structure? model i is the most stable.


Model i:
Density functional theory data (GGA-PBE) for AlCoHg3 after structural relaxation.

a b c (Å): 5.016 5.016 5.016
angles (deg): 90.00 90.00 90.00
Fractional coordinates of all 5 atoms:
Al 0.000 0.000 0.000
Co 0.500 0.500 0.500
Hg 0.000 0.500 0.500
Hg 0.500 0.000 0.500
Hg 0.500 0.500 0.000

Results
density = 9.05 Mg/m³
crystal system = cubic
symmetry = Pm-3m, No. 221


Model ii:
Density functional theory data (GGA-PBE) for AlCoHg3 after structural relaxation.

a b c (Å): 5.177 5.177 5.177
angles (deg): 90.00 90.00 90.00
Fractional coordinates of all 5 atoms:
Al 0.000 0.000 0.000
Co 0.500 0.500 0.500
Hg 0.000 0.000 0.500
Hg 0.000 0.500 0.000
Hg 0.500 0.000 0.000

Results
density = 8.23 Mg/m³
crystal system = cubic
symmetry = Pm-3m, No. 221


Which is the most stable structure? model i is the most stable.